No. 1
Material: LiTcRh2I
Method: DFT, PBE
State: relaxed

V ... 23.448 Å³/atom
Final energy ... -4.502 eV per atom

a = 4.872 Å, b = 4.938 Å, c = 4.872 Å
α = 90.00°, β = 90.00°, γ = 90.00°
Last column: magnetic moment on the atom in μB.
Sites, in units of the cell vectors:
I1 0.000 0.000 0.000  -0.02
Rh1 0.000 0.000 0.500  0.33
Rh2 0.500 0.000 0.000  0.23
Tc1 0.000 0.500 0.000  2.03
Li1 0.500 0.500 0.500  -0.01

No. 2
Material: MgTa4Rh
Method: DFT, PBE
State: relaxed

V ... 18.729 Å³/atom
Final energy ... -9.094 eV per atom
Formation energy from the elements ... 28.8 kJ per mole of atoms

a = 5.417 Å, b = 5.417 Å, c = 5.417 Å
α = 60.00°, β = 60.00°, γ = 60.00°
Sites, in units of the cell vectors:
Mg1 0.750 0.750 0.750
Ta1 0.873 0.376 0.376
Ta2 0.376 0.376 0.873
Ta3 0.376 0.873 0.376
Ta4 0.376 0.376 0.376
Rh1 0.000 0.000 0.000

No. 3
Material: Ba2CeSn3Pd4
Method: DFT, PBE
State: relaxed

V ... 25.912 Å³/atom
Final energy ... -4.976 eV per atom
Formation energy from the elements ... -69.5 kJ per mole of atoms

a = 4.802 Å, b = 4.802 Å, c = 11.237 Å
α = 90.00°, β = 90.00°, γ = 90.00°
Last column: magnetic moment on the atom in μB.
Sites, in units of the cell vectors:
Ba1 0.500 0.000 0.231  0.01
Ba2 0.000 0.500 0.769  0.01
Ce1 0.500 0.500 0.500  0.67
Sn1 0.000 0.000 0.500  -0.01
Sn2 0.500 0.000 0.884  0.00
Sn3 0.000 0.500 0.116  0.00
Pd1 0.500 0.500 0.000  0.00
Pd2 0.000 0.000 0.000  0.00
Pd3 0.500 0.000 0.640  -0.01
Pd4 0.000 0.500 0.360  -0.01

No. 4
Material: RbTc3S
Method: DFT, PBE
State: relaxed

V ... 19.182 Å³/atom
Final energy ... -6.149 eV per atom
Offset from the most stable computed form ... 0 meV/atom

a = 4.577 Å, b = 4.577 Å, c = 4.577 Å
α = 90.00°, β = 90.00°, γ = 90.00°
Last column: magnetic moment on the atom in μB.
Sites, in units of the cell vectors:
S1 0.000 0.000 0.000  -0.03
Tc1 0.000 0.500 0.000  0.88
Tc2 0.000 0.000 0.500  0.82
Tc3 0.500 0.000 0.000  0.66
Rb1 0.500 0.500 0.500  0.04

No. 5
Material: BeAgSb2
Method: DFT, PBE
State: relaxed

V ... 22.201 Å³/atom
Final energy ... -3.447 eV per atom

a = 4.399 Å, b = 4.399 Å, c = 6.210 Å
α = 71.18°, β = 71.18°, γ = 52.36°
Sites, in units of the cell vectors:
Sb1 0.978 0.978 0.914
Sb2 0.269 0.269 0.325
Ag1 0.500 0.500 0.558
Be1 0.753 0.753 0.702

No. 6
Material: Cs2CaCu2F6
Method: DFT, PBE
State: relaxed

V ... 19.489 Å³/atom
Final energy ... -4.512 eV per atom

a = 6.302 Å, b = 6.575 Å, c = 7.073 Å
α = 119.01°, β = 90.00°, γ = 118.64°
Last column: magnetic moment on the atom in μB.
Sites, in units of the cell vectors:
Cs1 0.724 0.448 0.187  0.00
Cs2 0.276 0.552 0.813  0.00
Ca1 0.500 0.000 0.500  0.00
Cu1 0.929 0.857 0.782  0.08
Cu2 0.071 0.143 0.218  0.08
F1 0.736 0.473 0.692  0.00
F2 0.225 0.946 0.247  0.00
F3 0.278 0.054 0.753  0.00
F4 0.775 0.054 0.753  0.00
F5 0.722 0.946 0.247  0.00
F6 0.264 0.527 0.308  0.00

No. 7
Material: Pm4Sn5Bi
Method: DFT, PBE
State: relaxed

V ... 29.975 Å³/atom
Final energy ... -4.892 eV per atom
Formation energy from the elements ... -58.1 kJ per mole of atoms

a = 4.453 Å, b = 11.242 Å, c = 11.976 Å
α = 90.00°, β = 90.00°, γ = 90.00°
Sites, in units of the cell vectors:
Pm1 0.750 0.000 0.681
Pm2 0.749 0.774 0.000
Pm3 0.749 0.226 0.000
Pm4 0.750 0.000 0.319
Pm5 0.250 0.500 0.181
Pm6 0.251 0.726 0.500
Pm7 0.251 0.274 0.500
Pm8 0.250 0.500 0.819
Sn1 0.250 0.818 0.797
Sn2 0.250 0.182 0.797
Sn3 0.750 0.500 0.000
Sn4 0.250 0.818 0.203
Sn5 0.250 0.182 0.203
Sn6 0.750 0.682 0.297
Sn7 0.750 0.318 0.297
Sn8 0.250 0.000 0.500
Sn9 0.750 0.318 0.703
Sn10 0.750 0.682 0.703
Bi1 0.247 0.000 0.000
Bi2 0.753 0.500 0.500

No. 8
Material: TiMnBe3
Method: DFT, PBE
State: relaxed

V ... 16.094 Å³/atom
Final energy ... -4.083 eV per atom
Formation energy from the elements ... 151.0 kJ per mole of atoms
Offset from the most stable computed form ... 1099 meV/atom

a = 4.317 Å, b = 4.317 Å, c = 4.317 Å
α = 90.00°, β = 90.00°, γ = 90.00°
Last column: magnetic moment on the atom in μB.
Sites, in units of the cell vectors:
Be1 0.000 0.500 0.000  0.23
Be2 0.000 0.000 0.500  0.13
Be3 0.500 0.000 0.000  0.29
Mn1 0.500 0.500 0.500  -3.94
Ti1 0.000 0.000 0.000  1.61